Compound: PmHfCr2O6
Source: the Alexandria database
Functional: PBE+U
Structure: optimized geometry

Output
For the total energy, the calculation gives -8.636 eV per atom.

Cell lengths 5.3685, 5.4626, 5.7086 Å; angles 63.45, 89.94, 60.95 degrees
With the nearest neighbours (Å) after each atom.
Space group P1 (No. 1)
Asymmetric unit:
Pm 0.0000 0.0000 0.0000 [1 per cell]  5 O 2.27-2.47
Hf 0.5272 0.9547 0.5553 [1 per cell]  6 O 2.04-2.19
Cr 0.2237 0.5587 0.6415 [1 per cell]  6 O 1.99-2.08
Cr 0.7294 0.5366 0.1750 [1 per cell]  4 O 2.08-2.19
O 0.1538 0.0124 0.3889 [1 per cell]  1 Hf 2.04, 1 Cr 2.07
O 0.3499 0.0932 0.8377 [1 per cell]  1 Cr 1.99, 1 Hf 2.11
O 0.4525 0.4182 0.3859 [1 per cell]  2 Cr 2.08, 1 Hf 2.08
O 0.5709 0.4989 0.8558 [1 per cell]  2 Cr 2.03-2.14, 1 Hf 2.19
O 0.8340 0.7300 0.3795 [1 per cell]  2 Cr 2.08-2.12, 1 Hf 2.09
O 0.9365 0.6985 0.8585 [1 per cell]  2 Cr 2.05-2.19, 1 Hf 2.15, 1 Pm 2.28